# Mg2As2O7

Mg2As2O7 after structural relaxation (PBEsol, Alexandria via LeMat-Bulk). Values from VASP.

Geometry as Quantum ESPRESSO input:
```
&SYSTEM
  ibrav = 0, nat = 11, ntyp = 3
/
ATOMIC_SPECIES
Mg 24.30 Mg.upf
O 16.00 O.upf
As 74.92 As.upf
ATOMIC_POSITIONS angstrom
Mg -0.6926 3.4765 1.7459
Mg -1.3360 0.8537 3.6194
O -2.9328 0.4957 2.1970
O -2.0428 2.7989 3.2168
O 0.0000 0.0000 0.0000
O -2.3726 2.7792 0.5658
O 0.3440 1.5510 4.7995
O 0.9041 3.8345 3.1684
O 0.0142 1.5313 2.1486
As -3.5208 1.8995 1.4501
As 1.4922 2.4307 3.9153
CELL_PARAMETERS angstrom
-4.6120 1.3060 0.2445
0.4473 -1.9300 5.0192
2.1361 4.9542 0.1016
```

## Properties
ρ, g/cm³: 3.9
Formation energy from raw total energies, eV/atom: -1.85
E_tot, eV/cell: -70.778
Magnetic moment, μB per atom: 0.00